CdPbWO6: optimized geometry, PBE+U.

Properties
E_tot (eV/atom): -5.9662
Size of the total moment (μB per formula unit): 0.00

```
18
Lattice="5.515 0.000 0.000 -2.757 4.776 0.000 0.000 0.000 9.629" Properties=species:S:1:pos:R:3 pbc="T T T"
O 1.136 1.651 3.513
O 0.760 4.618 8.328
O 3.620 2.967 3.513
O 0.862 1.809 8.328
O 1.998 0.158 1.302
O 1.895 2.967 1.302
O 3.517 0.158 3.513
O -0.760 4.618 6.117
O 4.379 1.651 1.302
O -0.862 1.809 6.117
O -1.622 3.125 8.328
O 1.622 3.125 6.117
Cd 0.000 0.000 4.815
Cd 0.000 0.000 0.000
Pb 0.000 3.184 2.407
Pb 2.757 1.592 7.222
W 2.757 1.592 2.407
W 0.000 3.184 7.222
```